Entry 1:
The following is a DFT calculation (PBE) of crystalline Pr3YCo at its relaxed geometry.

Cell lengths 7.3881, 7.3881, 7.3881 Å; angles 108.06, 110.41, 109.96 degrees
Positions (direct):
Pr 0.2102 0.0452 0.2554
Pr 0.2102 0.4548 0.6650
Pr 0.6614 0.9530 0.2084
Pr 0.7446 0.4530 0.7916
Pr 0.7898 0.5452 0.3350
Pr 0.7898 0.9548 0.7446
Y 0.2446 0.5417 0.2029
Y 0.3388 0.0417 0.7971
Co 0.1381 0.7462 0.8920
Co 0.8542 0.2462 0.1080

Output
- SG: Ima2 (46)
- Crystal system: orthorhombic
- Mass density: 6.1 Mg/m³
- Energy above the lowest structure with this stoichiometry: 0.0 meV/atom
- Magnetic moment: 0.0 μB per formula unit

=====

Entry 2:
The following is a DFT calculation (PBE) of crystalline Pr2YCo at its relaxed geometry.

Cell lengths 7.1159, 10.0164, 6.3056 Å; angles 90.00, 90.00, 90.00 degrees
Positions (direct):
Pr 0.1751 0.0706 0.1751
Pr 0.1751 0.4294 0.1751
Pr 0.3249 0.5706 0.6751
Pr 0.3249 0.9294 0.6751
Pr 0.6751 0.0706 0.3249
Pr 0.6751 0.4294 0.3249
Pr 0.8249 0.5706 0.8249
Pr 0.8249 0.9294 0.8249
Y 0.0431 0.2500 0.6559
Y 0.4569 0.7500 0.1559
Y 0.5431 0.2500 0.8441
Y 0.9569 0.7500 0.3441
Co 0.1172 0.7500 0.9455
Co 0.3828 0.2500 0.4455
Co 0.6172 0.7500 0.5545
Co 0.8828 0.2500 0.0545

Output
- SG: Pnma (62)
- Crystal system: orthorhombic
- Mass density: 6.3 Mg/m³
- Energy above the lowest structure with this stoichiometry: 0.0 meV/atom
- Magnetic moment: 0.0 μB per formula unit

=====

Entry 3:
The following is a DFT calculation (PBE) of crystalline PrY2Co at its relaxed geometry.

Cell lengths 7.0258, 9.5802, 6.4231 Å; angles 90.00, 90.00, 90.00 degrees
Positions (direct):
Pr 0.0461 0.2500 0.1414
Pr 0.4539 0.7500 0.6414
Pr 0.5461 0.2500 0.3586
Pr 0.9539 0.7500 0.8586
Y 0.1703 0.0696 0.6769
Y 0.1703 0.4304 0.6769
Y 0.3297 0.5696 0.1769
Y 0.3297 0.9304 0.1769
Y 0.6703 0.0696 0.8231
Y 0.6703 0.4304 0.8231
Y 0.8297 0.5696 0.3231
Y 0.8297 0.9304 0.3231
Co 0.1148 0.7500 0.4443
Co 0.3852 0.2500 0.9443
Co 0.6148 0.7500 0.0557
Co 0.8852 0.2500 0.5557

Output
- SG: Pnma (62)
- Crystal system: orthorhombic
- Mass density: 5.8 Mg/m³
- Energy above the lowest structure with this stoichiometry: 0.0 meV/atom
- Magnetic moment: 0.0 μB per formula unit

=====

Entry 4:
The following is a DFT calculation (PBE) of crystalline PrYCo at its relaxed geometry.

Cell lengths 7.1222, 7.1222, 7.2400 Å; angles 90.00, 90.00, 121.72 degrees
Positions (direct):
Pr 0.2012 0.7988 0.8875
Pr 0.2988 0.7012 0.3875
Pr 0.7012 0.2988 0.6125
Pr 0.7988 0.2012 0.1125
Y 0.2126 0.2874 0.7500
Y 0.2874 0.2126 0.2500
Y 0.7126 0.7874 0.7500
Y 0.7874 0.7126 0.2500
Co 0.0941 0.9059 0.5434
Co 0.4059 0.5941 0.0434
Co 0.5941 0.4059 0.9566
Co 0.9059 0.0941 0.4566

Output
- SG: Cmce (64)
- Crystal system: orthorhombic
- Mass density: 6.1 Mg/m³
- Energy above the lowest structure with this stoichiometry: 1.0 meV/atom
- Magnetic moment: 0.0 μB per formula unit

=====

Entry 5:
The following is a DFT calculation (PBE) of crystalline Pr2YCo at its relaxed geometry.

Cell lengths 3.5679, 3.5679, 8.9368 Å; angles 90.00, 90.00, 90.00 degrees
Positions (direct):
Pr 0.0000 0.0000 0.1910
Pr 0.0000 0.0000 0.8090
Y 0.5000 0.5000 0.5000
Co 0.5000 0.5000 0.0000

Output
- SG: P4/mmm (123)
- Crystal system: tetragonal
- Mass density: 6.3 Mg/m³
- Energy above the lowest structure with this stoichiometry: 165.1 meV/atom
- Magnetic moment: 2.1 μB per formula unit

=====

Entry 6:
The following is a DFT calculation (PBE) of crystalline PrY2Co at its relaxed geometry.

Cell lengths 6.4292, 6.4292, 9.6177 Å; angles 90.00, 90.00, 146.81 degrees
Positions (direct):
Pr 0.0843 0.9157 0.7500
Pr 0.9157 0.0843 0.2500
Y 0.3579 0.6421 0.5738
Y 0.3579 0.6421 0.9262
Y 0.6421 0.3579 0.0738
Y 0.6421 0.3579 0.4262
Co 0.2454 0.7546 0.2500
Co 0.7546 0.2454 0.7500

Output
- SG: Cmcm (63)
- Crystal system: orthorhombic
- Mass density: 5.8 Mg/m³
- Energy above the lowest structure with this stoichiometry: 19.4 meV/atom
- Magnetic moment: 0.0 μB per formula unit